(1)
This record from Alexandria describes a relaxed structure of Ta5Nb4Al. The functional is PBE-GGA.

The symmetry is C2/m (12). As for the formation energy: -0.0508 eV/atom.

a = 4.6340 Å, b = 5.6816 Å, c = 8.6546 Å
α = 123.45°, β = 105.53°, γ = 90.00°
Last column: nearest neighbours and their distance in Å.
Atoms (fractional coordinates):
Nb1 0.6990 0.4971 0.3979  4 Nb 2.84-2.86, 3 Ta 2.84-2.94, 1 Al 2.87
Nb2 0.3010 0.5029 0.6021  4 Nb 2.84-2.86, 3 Ta 2.84-2.94, 1 Al 2.87
Al1 0.5000 0.0000 0.0000  6 Ta 2.84-2.88, 2 Nb 2.87
Ta1 0.9005 0.0159 0.8010  4 Nb 2.81-2.94, 2 Ta 2.85, 2 Al 2.88
Nb3 0.0982 0.4837 0.1964  6 Ta 2.81-2.91, 2 Nb 2.84
Ta2 0.0995 0.9841 0.1990  4 Nb 2.81-2.94, 2 Ta 2.85, 2 Al 2.88
Ta3 0.7023 0.0030 0.4047  5 Ta 2.82-2.92, 3 Nb 2.84-2.91
Ta4 0.2977 0.9970 0.5953  5 Ta 2.82-2.92, 3 Nb 2.84-2.91
Nb4 0.9018 0.5163 0.8036  6 Ta 2.81-2.91, 2 Nb 2.84
Ta5 0.5000 0.5000 0.0000  2 Al 2.84, 4 Nb 2.87, 2 Ta 2.92



(2)
This record from Alexandria describes a relaxed structure of NaAgOs3. The functional is PBE-GGA.

The symmetry is Pm-3m (221). As for the formation energy: 2.9007 eV/atom.

a = 4.9025 Å, b = 4.9025 Å, c = 4.9025 Å
α = 90.00°, β = 90.00°, γ = 90.00°
Last column: nearest neighbours and their distance in Å.
Atoms (fractional coordinates):
Ag1 0.0000 0.0000 0.0000  6 Os 2.45
Os1 0.0000 0.5000 0.0000  2 Ag 2.45
Na1 0.5000 0.5000 0.5000  12 Os 3.47
Os2 0.0000 0.0000 0.5000  2 Ag 2.45
Os3 0.5000 0.0000 0.0000  2 Ag 2.45



(3)
This record from Alexandria describes a relaxed structure of Pa3Co9Si2Os. The functional is PBE-GGA.

The symmetry is P-3m1 (164). The calculation puts the raw formation energy at -1.9 eV per formula unit.

a = 5.1565 Å, b = 5.1565 Å, c = 10.3661 Å
α = 90.00°, β = 90.00°, γ = 120.00°
Last column: nearest neighbours and their distance in Å.
Atoms (fractional coordinates):
Si1 0.3333 0.6667 0.1600  6 Co 2.23-2.25
Co1 0.8308 0.6616 0.6755  1 Si 2.25, 1 Os 2.37
Co2 0.0000 0.5000 0.0000  2 Si 2.23
Co3 0.1692 0.8308 0.3245  1 Si 2.25, 1 Os 2.37
Pa1 0.0000 0.0000 0.0000  6 Co 2.58
Co4 0.1692 0.3384 0.3245  1 Si 2.25, 1 Os 2.37
Co5 0.8308 0.1692 0.6755  1 Si 2.25, 1 Os 2.37
Co6 0.5000 0.0000 0.0000  2 Si 2.23
Co7 0.5000 0.5000 0.0000  2 Si 2.23
Co8 0.6616 0.8308 0.3245  1 Si 2.25, 1 Os 2.37
Pa2 0.6667 0.3333 0.3679  6 Co 2.62
Os1 0.0000 0.0000 0.5000  6 Co 2.37
Pa3 0.3333 0.6667 0.6321  6 Co 2.62
Co9 0.3384 0.1692 0.6755  1 Si 2.25, 1 Os 2.37
Si2 0.6667 0.3333 0.8400  6 Co 2.23-2.25



(4)
This record from Alexandria describes a relaxed structure of Pr4Nd5In4. The functional is PBE-GGA.

The symmetry is I4/m (87). As for the formation energy: -0.3093 eV/atom.

a = 5.3013 Å, b = 9.2839 Å, c = 9.2839 Å
α = 85.32°, β = 73.41°, γ = 73.41°
Last column: nearest neighbours and their distance in Å.
Atoms (fractional coordinates):
Nd1 0.4044 0.2836 0.9077  3 In 3.28-3.32, 2 Pr 3.60
In1 0.1137 0.1170 0.6556  4 Nd 3.24-3.32, 3 Pr 3.26-3.43
Nd2 0.3120 0.0923 0.2836  3 In 3.28-3.32, 2 Pr 3.60
In2 0.2307 0.6556 0.8830  4 Nd 3.24-3.32, 3 Pr 3.26-3.43
Nd3 0.0000 0.0000 0.0000  4 In 3.24
Nd4 0.5956 0.7164 0.0923  3 In 3.28-3.32, 2 Pr 3.60
Pr1 0.6185 0.2849 0.4781  3 In 3.26-3.43, 2 Nd 3.60
In3 0.7693 0.3444 0.1170  4 Nd 3.24-3.32, 3 Pr 3.26-3.43
Pr2 0.0966 0.5219 0.2849  3 In 3.26-3.43, 2 Nd 3.60
In4 0.8863 0.8830 0.3444  4 Nd 3.24-3.32, 3 Pr 3.26-3.43
Pr3 0.3815 0.7151 0.5219  3 In 3.26-3.43, 2 Nd 3.60
Pr4 0.9034 0.4781 0.7151  3 In 3.26-3.43, 2 Nd 3.60
Nd5 0.6880 0.9077 0.7164  3 In 3.28-3.32, 2 Pr 3.60



(5)
This record from Alexandria describes a relaxed structure of MgMnZn2. The functional is PBE-GGA.

The symmetry is I-4m2 (119). As for the formation energy: 0.0874 eV/atom.

a = 4.9058 Å, b = 4.9058 Å, c = 4.9058 Å
α = 132.66°, β = 132.66°, γ = 69.18°
Last column: nearest neighbours and their distance in Å.
Atoms (fractional coordinates):
Zn1 0.0000 0.0000 0.0000  4 Mg 2.79, 4 Zn 2.82, 4 Mn 2.82
Mn1 0.7500 0.2500 0.5000  8 Zn 2.79-2.82, 4 Mg 2.82
Mg1 0.5000 0.5000 0.0000  8 Zn 2.79-2.82, 4 Mn 2.82
Zn2 0.2500 0.7500 0.5000  4 Mn 2.79, 4 Zn 2.82, 4 Mg 2.82



(6)
This record from Alexandria describes a relaxed structure of Al2CoBr. The functional is PBE-GGA.

The symmetry is P4/mmm (123). The calculation puts the raw formation energy at 1.3 eV per formula unit.

a = 2.9034 Å, b = 4.7823 Å, c = 4.7823 Å
α = 90.00°, β = 90.00°, γ = 90.00°
Last column: nearest neighbours and their distance in Å.
Atoms (fractional coordinates):
Co1 0.5000 0.0000 0.5000  8 Al 2.80, 2 Co 2.90
Br1 0.5000 0.5000 0.0000  8 Al 2.80, 2 Br 2.90
Al1 0.0000 0.0000 0.0000  4 Co 2.80, 4 Br 2.80, 2 Al 2.90
Al2 0.0000 0.5000 0.5000  4 Br 2.80, 4 Co 2.80, 2 Al 2.90



(7)
This record from Alexandria describes a relaxed structure of Tb2Dy3Y6Zr. The functional is PBE-GGA.

The symmetry is C2/m (12). As for the formation energy: 0.0498 eV/atom.

a = 6.1056 Å, b = 6.1056 Å, c = 11.6770 Å
α = 94.97°, β = 94.97°, γ = 119.92°
Last column: nearest neighbours and their distance in Å.
Atoms (fractional coordinates):
Tb1 0.6668 0.3332 0.0000  6 Y 3.49, 3 Zr 3.52-3.53, 3 Tb 3.53
Zr1 0.0000 0.0000 0.0000  6 Y 3.45-3.46, 6 Tb 3.52-3.53
Y1 0.7549 0.7549 0.2448  1 Zr 3.45, 6 Y 3.46-3.56, 2 Tb 3.49, 3 Dy 3.56-3.59
Dy1 0.8335 0.1665 0.5000  6 Dy 3.52-3.53, 6 Y 3.55-3.59
Dy2 0.1665 0.8335 0.5000  6 Dy 3.52-3.53, 6 Y 3.55-3.59
Y2 0.5914 0.9183 0.7548  6 Y 3.46-3.56, 1 Zr 3.46, 2 Tb 3.49, 3 Dy 3.55-3.59
Y3 0.2451 0.2451 0.7552  1 Zr 3.45, 6 Y 3.46-3.56, 2 Tb 3.49, 3 Dy 3.56-3.59
Y4 0.9183 0.5914 0.7548  6 Y 3.46-3.56, 1 Zr 3.46, 2 Tb 3.49, 3 Dy 3.55-3.59
Y5 0.0817 0.4086 0.2452  6 Y 3.46-3.56, 1 Zr 3.46, 2 Tb 3.49, 3 Dy 3.55-3.59
Dy3 0.5000 0.5000 0.5000  6 Dy 3.53, 6 Y 3.56-3.59
Y6 0.4086 0.0817 0.2452  6 Y 3.46-3.56, 1 Zr 3.46, 2 Tb 3.49, 3 Dy 3.55-3.59
Tb2 0.3332 0.6668 0.0000  6 Y 3.49, 3 Zr 3.52-3.53, 3 Tb 3.53



(8)
This record from Alexandria describes a relaxed structure of KRb2SBr. The functional is PBE-GGA.

The symmetry is P4/mmm (123). The calculation puts the raw formation energy at -5.9 eV per formula unit.

a = 6.3268 Å, b = 6.3268 Å, c = 5.9713 Å
α = 90.00°, β = 90.00°, γ = 90.00°
Last column: nearest neighbours and their distance in Å.
Atoms (fractional coordinates):
Rb1 0.5000 0.0000 0.0000  2 S 3.16
S1 0.0000 0.0000 0.0000  2 K 2.99, 4 Rb 3.16
K1 0.0000 0.0000 0.5000  2 S 2.99
Br1 0.5000 0.5000 0.5000  8 Rb 4.35, 4 K 4.47
Rb2 0.0000 0.5000 0.0000  2 S 3.16



(9)
This record from Alexandria describes a relaxed structure of LiCe2O3. The functional is PBE-GGA.

The symmetry is Cm (8). The calculation puts the raw formation energy at -15.9 eV per formula unit.

a = 3.8691 Å, b = 4.1319 Å, c = 6.9496 Å
α = 106.62°, β = 90.00°, γ = 117.92°
Last column: nearest neighbours and their distance in Å.
Atoms (fractional coordinates):
O1 0.3386 0.6772 0.6723  1 Li 2.13, 3 Ce 2.30-2.38
Li1 0.4355 0.8711 0.9962  3 O 2.10-2.14
O2 0.5503 0.1005 0.3147  1 Li 2.10, 2 Ce 2.33
Ce1 0.2202 0.4404 0.2930  5 O 2.27-2.49
Ce2 0.6641 0.3282 0.7132  3 O 2.30-2.38
O3 0.1305 0.2611 0.9481  1 Li 2.14, 1 Ce 2.27



(10)
This record from Alexandria describes a relaxed structure of AlSe2Br. The functional is PBE-GGA.

The symmetry is Cmmm (65). The calculation puts the raw formation energy at -0.2 eV per formula unit.

a = 3.2618 Å, b = 3.2618 Å, c = 11.1267 Å
α = 90.00°, β = 90.00°, γ = 114.25°
Last column: nearest neighbours and their distance in Å.
Atoms (fractional coordinates):
Al1 0.5000 0.5000 0.2500  4 Se 2.48
Se1 0.0000 0.0000 0.4063  2 Al 2.48
Se2 0.0000 0.0000 0.0937  2 Al 2.48
Br1 0.5000 0.5000 0.7500  6 Br 3.26-3.54



(11)
This record from Alexandria describes a relaxed structure of Nd2Ga2Au3. The functional is PBE-GGA.

The symmetry is C2/m (12). As for the formation energy: -0.6890 eV/atom.

a = 4.2651 Å, b = 5.7651 Å, c = 7.2516 Å
α = 112.06°, β = 90.00°, γ = 111.71°
Last column: nearest neighbours and their distance in Å.
Atoms (fractional coordinates):
Nd1 0.1366 0.2732 0.7661  4 Ga 3.07-3.17, 6 Au 3.15-3.40
Ga1 0.8486 0.6973 0.7890  5 Au 2.74-2.80
Ga2 0.1514 0.3027 0.2110  5 Au 2.74-2.80
Nd2 0.8634 0.7268 0.2339  4 Ga 3.07-3.17, 6 Au 3.15-3.40
Au1 0.6168 0.2336 0.4351  3 Ga 2.76-2.80, 2 Au 2.89-3.01
Au2 0.5000 0.0000 0.0000  4 Ga 2.74, 2 Au 2.89
Au3 0.3832 0.7664 0.5649  3 Ga 2.76-2.80, 2 Au 2.89-3.01



(12)
This record from Alexandria describes a relaxed structure of Li2HfInPd. The functional is PBE-GGA.

The symmetry is P4/mmm (123). As for the formation energy: 0.6580 eV/atom.

a = 4.6090 Å, b = 5.4232 Å, c = 4.6090 Å
α = 90.00°, β = 90.00°, γ = 90.00°
Last column: nearest neighbours and their distance in Å.
Atoms (fractional coordinates):
Hf1 0.0000 0.5000 0.0000  2 In 2.71
In1 0.0000 0.0000 0.0000  4 Li 2.30
Li1 0.5000 0.0000 0.0000  2 In 2.30
Pd1 0.5000 0.5000 0.5000  4 Hf 3.26, 8 Li 3.56
Li2 0.0000 0.0000 0.5000  2 In 2.30



(13)
This record from Alexandria describes a relaxed structure of Ba2Ag3Sn4Bi. The functional is PBE-GGA.

The symmetry is P-4m2 (115). As for the formation energy: -0.3466 eV/atom.

a = 4.9769 Å, b = 4.9769 Å, c = 11.8903 Å
α = 90.00°, β = 90.00°, γ = 90.00°
Last column: nearest neighbours and their distance in Å.
Atoms (fractional coordinates):
Sn1 0.5000 0.5000 0.0000  4 Ag 2.89
Ag1 0.0000 0.0000 0.5000  4 Sn 3.03
Ba1 0.5000 0.0000 0.2419  8 Sn 3.77-3.80, 6 Ag 3.79-3.95, 2 Bi 3.95
Bi1 0.5000 0.5000 0.5000  4 Sn 3.03
Ag2 0.5000 0.0000 0.8770  5 Sn 2.76-2.89
Ba2 0.0000 0.5000 0.7581  8 Sn 3.77-3.80, 6 Ag 3.79-3.95, 2 Bi 3.95
Ag3 0.0000 0.5000 0.1230  5 Sn 2.76-2.89
Sn2 0.0000 0.5000 0.3550  3 Ag 2.76-3.03, 2 Bi 3.03
Sn3 0.5000 0.0000 0.6450  3 Ag 2.76-3.03, 2 Bi 3.03
Sn4 0.0000 0.0000 0.0000  4 Ag 2.89



| no. | E_tot (eV/atom) |
| --- | --- |
| 1 | -10.3793 |
| 2 | -4.6712 |
| 3 | -7.7630 |
| 4 | -4.4563 |
| 5 | -3.2407 |
| 6 | -3.7327 |
| 7 | -5.8168 |
| 8 | -2.9474 |
| 9 | -7.4238 |
| 10 | -3.1455 |
| 11 | -4.3206 |
| 12 | -3.6845 |
| 13 | -3.5757 |